Computed, not measured: a relaxed structure of Zr5ScHg6 at the PBE-GGA level of DFT.

Summary:
Formation energy   -0.184 eV per atom

The structure in CIF format:
```
data_Zr5ScHg6
_chemical_formula_sum 'Zr10 Sc2 Hg12'
_space_group_name_H-M_alt 'I m m m'
_space_group_IT_number 71
_space_group_name_Hall '-I 2 2'
_cell_length_a 4.944
_cell_length_b 7.164
_cell_length_c 14.781
_cell_angle_alpha 90.00
_cell_angle_beta 90.00
_cell_angle_gamma 90.00
loop_
_atom_site_label
_atom_site_type_symbol
_atom_site_fract_x
_atom_site_fract_y
_atom_site_fract_z
Zr1 Zr 0.000 0.000 0.000
Zr2 Zr 0.000 0.000 0.325
Zr3 Zr 0.000 0.500 0.338
Sc1 Sc 0.000 0.500 0.000
Hg1 Hg 0.000 0.234 0.500
Hg2 Hg 0.000 0.258 0.164
```



Computed, not measured: a relaxed structure of NiTeN3 at the PBE-GGA level of DFT.

Summary:
Formation energy without anion corrections   1.6079 eV/atom

The structure in CIF format:
```
data_NiTeN3
_chemical_formula_sum 'Ni1 Te1 N3'
_space_group_name_H-M_alt 'P m -3 m'
_space_group_IT_number 221
_space_group_name_Hall '-P 4 2 3'
_cell_length_a 3.756
_cell_length_b 3.756
_cell_length_c 3.756
_cell_angle_alpha 90.00
_cell_angle_beta 90.00
_cell_angle_gamma 90.00
loop_
_atom_site_label
_atom_site_type_symbol
_atom_site_fract_x
_atom_site_fract_y
_atom_site_fract_z
Ni1 Ni 0.000 0.000 0.000
Te1 Te 0.500 0.500 0.500
N1 N 0.000 0.000 0.500
```



Computed, not measured: a relaxed structure of LiCdCoPb at the PBE-GGA level of DFT.

Summary:
Formation energy   0.079 eV per atom

The structure in CIF format:
```
data_LiCdCoPb
_chemical_formula_sum 'Li4 Cd4 Co4 Pb4'
_space_group_name_H-M_alt 'F -4 3 m'
_space_group_IT_number 216
_space_group_name_Hall 'F -4 2 3'
_cell_length_a 6.511
_cell_length_b 6.511
_cell_length_c 6.511
_cell_angle_alpha 90.00
_cell_angle_beta 90.00
_cell_angle_gamma 90.00
loop_
_atom_site_label
_atom_site_type_symbol
_atom_site_fract_x
_atom_site_fract_y
_atom_site_fract_z
Li1 Li 0.000 0.000 0.000
Cd1 Cd 0.250 0.250 0.750
Co1 Co 0.000 0.000 0.500
Pb1 Pb 0.250 0.250 0.250
```



Computed, not measured: a relaxed structure of TeP2Cl at the PBE-GGA level of DFT.

Summary:
Formation energy without anion corrections   0.7905 eV/atom
ΔE to the lowest computed polymorph   0.8879 eV per atom

The structure in CIF format:
```
data_TeP2Cl
_chemical_formula_sum 'Te1 P2 Cl1'
_space_group_name_H-M_alt 'P 4/m m m'
_space_group_IT_number 123
_space_group_name_Hall '-P 4 2'
_cell_length_a 3.880
_cell_length_b 3.880
_cell_length_c 5.379
_cell_angle_alpha 90.00
_cell_angle_beta 90.00
_cell_angle_gamma 90.00
loop_
_atom_site_label
_atom_site_type_symbol
_atom_site_fract_x
_atom_site_fract_y
_atom_site_fract_z
Te1 Te 0.000 0.000 0.000
P1 P 0.000 0.500 0.500
Cl1 Cl 0.500 0.500 0.000
```